# 1
Material: PtRh3Se
Method: DFT, GGA-PBE
State: relaxed

Calculated values
SG: Pm-3m
total moment: 0.71 μB per atom

Cell lengths 4.8026, 4.8026, 4.8026 Å; angles 90.00, 90.00, 90.00 degrees
Fractional positions:
Pt: 0.0000 0.0000 0.0000
Rh: 0.0000 0.0000 0.5000
Rh: 0.0000 0.5000 0.0000
Rh: 0.5000 0.0000 0.0000
Se: 0.5000 0.5000 0.5000

***

# 2
Material: PtRhSe3
Method: DFT, GGA-PBE
State: relaxed

Calculated values
SG: Pm-3m
total moment: 0.00 μB per atom

Cell lengths 4.8104, 4.8104, 4.8104 Å; angles 90.00, 90.00, 90.00 degrees
Fractional positions:
Pt: 0.0000 0.0000 0.0000
Rh: 0.5000 0.5000 0.5000
Se: 0.0000 0.5000 0.5000
Se: 0.5000 0.0000 0.5000
Se: 0.5000 0.5000 0.0000

***

# 3
Material: PtRh2Se
Method: DFT, GGA-PBE
State: relaxed

Calculated values
SG: Pm
total moment: 0.00 μB per atom

Cell lengths 2.8409, 4.5441, 5.0844 Å; angles 90.00, 106.13, 90.00 degrees
Fractional positions:
Pt: 0.0000 0.0000 0.0000
Rh: 0.2652 0.0000 0.5223
Rh: 0.6264 0.5000 0.2488
Se: 0.3524 0.5000 0.6945

***

# 4
Material: PtRhSe2
Method: DFT, GGA-PBE
State: relaxed

Calculated values
SG: Cmmm
total moment: 0.00 μB per atom

Cell lengths 2.9739, 2.9739, 8.9001 Å; angles 90.00, 90.00, 120.32 degrees
Fractional positions:
Pt: 0.0000 0.0000 0.0000
Rh: 0.0000 0.0000 0.5000
Se: 0.5000 0.5000 0.2627
Se: 0.5000 0.5000 0.7373

***

# 5
Material: PtRhSe4
Method: DFT, GGA-PBE
State: relaxed

Calculated values
SG: P2/m
total moment: 0.00 μB per atom

Cell lengths 5.0573, 3.7586, 6.5198 Å; angles 90.00, 90.24, 90.00 degrees
Fractional positions:
Pt: 0.0000 0.0000 0.0000
Rh: 0.0000 0.5000 0.5000
Se: 0.2528 0.0000 0.6636
Se: 0.2528 0.5000 0.1719
Se: 0.7472 0.0000 0.3364
Se: 0.7472 0.5000 0.8281

***

# 6
Material: PtRhSe2
Method: DFT, GGA-PBE
State: relaxed

Calculated values
SG: P4mm
total moment: 0.00 μB per atom

Cell lengths 3.4736, 3.4736, 6.3061 Å; angles 90.00, 90.00, 90.00 degrees
Fractional positions:
Pt: 0.0000 0.0000 0.0000
Rh: 0.5000 0.5000 0.2522
Se: 0.0000 0.0000 0.3991
Se: 0.5000 0.5000 0.8598

***

# 7
Material: Pt2RhSe
Method: DFT, GGA-PBE
State: relaxed

Calculated values
SG: F-43m
total moment: 0.00 μB per atom

Cell lengths 4.4849, 4.4849, 4.4849 Å; angles 60.00, 60.00, 60.00 degrees
Fractional positions:
Pt: 0.0000 0.0000 0.0000
Pt: 0.2500 0.2500 0.2500
Rh: 0.7500 0.7500 0.7500
Se: 0.5000 0.5000 0.5000

***

# 8
Material: PtRhSe2
Method: DFT, GGA-PBE
State: relaxed

Calculated values
SG: Cmmm
total moment: 0.00 μB per atom

Cell lengths 4.6260, 4.6260, 3.5312 Å; angles 90.00, 90.00, 105.47 degrees
Fractional positions:
Pt: 0.0000 0.0000 0.0000
Rh: 0.5000 0.5000 0.0000
Se: 0.2538 0.7462 0.5000
Se: 0.7462 0.2538 0.5000

***

| no. | uncorrected formation energy (eV/atom) |
| --- | --- |
| 1 | 1.43 |
| 2 | 0.80 |
| 3 | 0.14 |
| 4 | 0.32 |
| 5 | -0.40 |
| 6 | -0.15 |
| 7 | 0.22 |
| 8 | 0.06 |